(1)
Entry from Alexandria: crystalline SbP at its relaxed geometry (PBE-GGA).

Structure (POSCAR):
```
SbP
1.0
-1.894 7.387 2.939
1.894 -7.387 2.939
1.894 7.387 -2.939
Sb P
3 3
Cartesian
0.000 0.000 0.000 Sb
1.894 -2.866 1.674 Sb
1.894 2.866 1.674 Sb
1.894 2.744 -0.922 P
1.894 0.000 1.773 P
0.000 4.643 2.017 P
```

Values from the calculation:
- Relative energy among the computed polymorphs: 0.33 eV/f.u.
- Uncorrected energy: -4.524 eV per atom
- SG: Imm2, No. 44
- Size of the total moment: 0.000 μB/cell

(2)
Entry from Alexandria: crystalline Sb2P at its relaxed geometry (PBE-GGA).

Structure (POSCAR):
```
Sb2P
1.0
4.114 0.000 0.000
-2.057 3.563 0.000
0.000 0.000 5.062
Sb P
2 1
Cartesian
0.000 2.375 0.970 Sb
2.057 1.188 4.091 Sb
0.000 0.000 2.531 P
```

Values from the calculation:
- Relative energy among the computed polymorphs: 0.10 eV/f.u.
- Uncorrected energy: -4.379 eV per atom
- SG: P-3m1, No. 164
- Size of the total moment: 0.000 μB/cell

(3)
Entry from Alexandria: crystalline Sb3P2 at its relaxed geometry (PBE-GGA).

Structure (POSCAR):
```
Sb3P2
1.0
2.018 1.165 8.396
-2.018 1.165 8.396
0.000 -2.330 8.396
Sb P
3 2
Cartesian
0.000 0.000 0.000 Sb
0.000 0.000 5.185 Sb
0.000 0.000 20.003 Sb
0.000 0.000 9.994 P
0.000 0.000 15.194 P
```

Values from the calculation:
- Uncorrected energy: -4.465 eV per atom
- SG: R-3m, No. 166
- Size of the total moment: 0.000 μB/cell

(4)
Entry from Alexandria: crystalline SbP at its relaxed geometry (PBE-GGA).

Structure (POSCAR):
```
SbP
1.0
3.742 0.000 0.000
-1.871 3.241 0.000
0.000 0.000 10.938
Sb P
2 2
Cartesian
0.000 2.161 1.906 Sb
1.871 1.080 9.032 Sb
0.000 2.161 7.596 P
1.871 1.080 3.341 P
```

Values from the calculation:
- Relative energy among the computed polymorphs: 0.15 eV/f.u.
- Uncorrected energy: -4.612 eV per atom
- SG: P-3m1, No. 164
- Size of the total moment: 0.000 μB/cell

(5)
Entry from Alexandria: crystalline Sb5P at its relaxed geometry (PBE-GGA).

Structure (POSCAR):
```
Sb5P
1.0
1.899 -8.753 0.000
1.899 8.753 0.000
0.000 0.000 4.868
Sb P
5 1
Cartesian
0.000 0.000 0.000 Sb
1.899 6.610 2.434 Sb
1.899 3.250 0.000 Sb
1.899 -3.250 0.000 Sb
1.899 -6.610 2.434 Sb
1.899 0.000 2.434 P
```

Values from the calculation:
- Relative energy among the computed polymorphs: 0.84 eV/f.u.
- Uncorrected energy: -4.064 eV per atom
- SG: Cmmm, No. 65
- Size of the total moment: 0.000 μB/cell

(6)
Entry from Alexandria: crystalline Sb7P at its relaxed geometry (PBE-GGA).

Structure (POSCAR):
```
Sb7P
1.0
0.000 4.700 4.700
4.700 0.000 4.700
4.700 4.700 0.000
Sb P
7 1
Cartesian
0.000 0.000 0.000 Sb
2.350 2.350 0.000 Sb
2.350 0.000 2.350 Sb
4.700 2.350 2.350 Sb
0.000 2.350 2.350 Sb
2.350 4.700 2.350 Sb
2.350 2.350 4.700 Sb
4.700 4.700 4.700 P
```

Values from the calculation:
- Uncorrected energy: -3.844 eV per atom
- SG: Fm-3m, No. 225
- Size of the total moment: 0.000 μB/cell

(7)
Entry from Alexandria: crystalline SbP2 at its relaxed geometry (PBE-GGA).

Structure (POSCAR):
```
SbP2
1.0
1.685 -7.395 0.000
1.685 7.395 0.000
0.000 0.000 5.066
Sb P
2 4
Cartesian
1.685 5.714 3.799 Sb
1.685 -5.714 1.266 Sb
1.685 4.467 1.266 P
1.685 1.389 3.799 P
1.685 -1.389 1.266 P
1.685 -4.467 3.799 P
```

Values from the calculation:
- Relative energy among the computed polymorphs: 0.89 eV/f.u.
- Uncorrected energy: -4.628 eV per atom
- SG: Cmcm, No. 63
- Size of the total moment: 0.000 μB/cell

(8)
Entry from Alexandria: crystalline SbP2 at its relaxed geometry (PBE-GGA).

Structure (POSCAR):
```
SbP2
1.0
3.377 0.000 0.000
0.000 3.377 0.000
0.000 0.000 5.312
Sb P
1 2
Cartesian
0.000 0.000 0.000 Sb
0.000 1.688 2.656 P
1.688 0.000 2.656 P
```

Values from the calculation:
- Relative energy among the computed polymorphs: 1.11 eV/f.u.
- Uncorrected energy: -4.556 eV per atom
- SG: P4/mmm, No. 123
- Size of the total moment: 0.000 μB/cell

(9)
Entry from Alexandria: crystalline Sb2P at its relaxed geometry (PBE-GGA).

Structure (POSCAR):
```
Sb2P
1.0
6.013 -1.808 0.000
6.013 1.808 0.000
-1.608 0.000 7.868
Sb P
4 2
Cartesian
1.129 0.000 0.985 Sb
0.944 0.000 4.272 Sb
9.474 0.000 3.596 Sb
9.289 0.000 6.883 Sb
4.582 0.000 5.495 P
5.837 0.000 2.373 P
```

Values from the calculation:
- Relative energy among the computed polymorphs: 0.62 eV/f.u.
- Uncorrected energy: -4.207 eV per atom
- SG: C2/m, No. 12
- Size of the total moment: 0.000 μB/cell

(10)
Entry from Alexandria: crystalline SbP at its relaxed geometry (PBE-GGA).

Structure (POSCAR):
```
SbP
1.0
3.438 -1.985 0.000
3.438 1.985 0.000
-2.293 0.000 3.487
Sb P
1 1
Cartesian
0.000 0.000 0.000 Sb
2.299 0.000 1.350 P
```

Values from the calculation:
- Relative energy among the computed polymorphs: 0.03 eV/f.u.
- Uncorrected energy: -4.675 eV per atom
- SG: Cm, No. 8
- Size of the total moment: 0.000 μB/cell

(11)
Entry from Alexandria: crystalline Sb2P at its relaxed geometry (PBE-GGA).

Structure (POSCAR):
```
Sb2P
1.0
5.631 0.000 0.000
0.000 5.645 0.000
0.000 0.000 9.461
Sb P
8 4
Cartesian
0.027 1.411 0.715 Sb
0.094 1.411 6.339 Sb
2.722 4.234 1.609 Sb
2.789 4.234 5.446 Sb
2.843 1.411 4.015 Sb
2.910 1.411 7.852 Sb
5.537 4.234 3.121 Sb
5.604 4.234 8.746 Sb
0.226 4.234 5.920 P
2.590 1.411 1.190 P
3.042 4.234 8.271 P
5.405 1.411 3.541 P
```

Values from the calculation:
- Relative energy among the computed polymorphs: 0.20 eV/f.u.
- Uncorrected energy: -4.347 eV per atom
- SG: Pnma, No. 62
- Size of the total moment: 0.000 μB/cell

(12)
Entry from Alexandria: crystalline Sb2P at its relaxed geometry (PBE-GGA).

Structure (POSCAR):
```
Sb2P
1.0
3.718 0.000 0.000
-1.859 3.220 0.000
0.000 0.000 12.242
Sb P
4 2
Cartesian
0.000 2.147 1.236 Sb
0.000 2.147 4.885 Sb
1.859 1.073 7.357 Sb
1.859 1.073 11.006 Sb
0.000 0.000 3.060 P
0.000 0.000 9.181 P
```

Values from the calculation:
- Relative energy among the computed polymorphs: 0.47 eV/f.u.
- Uncorrected energy: -4.257 eV per atom
- SG: P6_3/mmc, No. 194
- Size of the total moment: 0.000 μB/cell

(13)
Entry from Alexandria: crystalline SbP at its relaxed geometry (PBE-GGA).

Structure (POSCAR):
```
SbP
1.0
4.742 0.000 0.000
0.000 4.742 0.000
0.000 0.000 4.654
Sb P
2 2
Cartesian
1.185 1.185 1.069 Sb
3.556 3.556 3.584 Sb
1.185 3.556 2.327 P
3.556 1.185 2.327 P
```

Values from the calculation:
- Relative energy among the computed polymorphs: 0.39 eV/f.u.
- Uncorrected energy: -4.492 eV per atom
- SG: P4/nmm, No. 129
- Size of the total moment: 0.000 μB/cell

(14)
Entry from Alexandria: crystalline Sb2P at its relaxed geometry (PBE-GGA).

Structure (POSCAR):
```
Sb2P
1.0
5.522 0.000 0.000
0.000 7.531 0.000
0.000 0.000 3.678
Sb P
4 2
Cartesian
1.011 1.105 0.000 Sb
1.750 4.871 1.839 Sb
3.772 2.660 1.839 Sb
4.511 6.425 0.000 Sb
0.000 3.765 0.000 P
2.761 0.000 1.839 P
```

Values from the calculation:
- Relative energy among the computed polymorphs: 0.37 eV/f.u.
- Uncorrected energy: -4.291 eV per atom
- SG: Pnnm, No. 58
- Size of the total moment: 0.000 μB/cell